Entry 1:
Crystalline Cs2AgSe2 at its relaxed geometry. Source: the Alexandria database, functional PBE-GGA.

Unit cell a=10.630 b=10.630 c=3.378 alpha=90.00 beta=90.00 gamma=90.00
Atoms (fractional coordinates):
Cs  0.368  0.868  0.000
Cs  0.868  0.632  0.000
Cs  0.632  0.132  0.000
Cs  0.132  0.368  0.000
Se  0.167  0.667  0.500
Se  0.667  0.833  0.500
Se  0.833  0.333  0.500
Se  0.333  0.167  0.500
Ag  0.000  0.000  0.000
Ag  0.500  0.500  0.000

excess energy over the best structure of this formula in the dataset: 356 meV/atom
total moment: 0.00 μB per cell
density: 4.6 g/cm³
space-group type: P4/mbm
uncorrected formation energy: -0.157 eV per atom

=====

Entry 2:
Crystalline InAu2Se at its relaxed geometry. Source: the Alexandria database, functional PBE-GGA.

Unit cell a=3.885 b=3.885 c=5.599 alpha=90.00 beta=90.00 gamma=89.30
Atoms (fractional coordinates):
Au  0.000  0.000  0.003
Au  0.000  0.000  0.497
In  0.500  0.500  0.250
Se  0.500  0.500  0.750

excess energy over the best structure of this formula in the dataset: 138 meV/atom
total moment: 0.00 μB per cell
density: 11.6 g/cm³
space-group type: Cmmm
uncorrected formation energy: 0.035 eV per atom

=====

Entry 3:
Crystalline Mg2CoHRh at its relaxed geometry. Source: the Alexandria database, functional PBE-GGA.

Unit cell a=4.262 b=4.262 c=3.475 alpha=90.00 beta=90.00 gamma=90.00
Atoms (fractional coordinates):
Co  0.500  0.500  0.500
Mg  0.000  0.500  0.000
Mg  0.500  0.000  0.000
Rh  0.000  0.000  0.500
H  0.000  0.000  0.000

excess energy over the best structure of this formula in the dataset: 83 meV/atom
total moment: 0.91 μB per cell
density: 5.6 g/cm³
space-group type: P4/mmm

=====

Entry 4:
Crystalline TaTiO2 at its relaxed geometry. Source: the Alexandria database, functional PBE-GGA.

Unit cell a=4.788 b=4.788 c=5.698 alpha=65.16 beta=65.16 gamma=90.00
Atoms (fractional coordinates):
Ti  0.500  0.500  0.000
Ti  0.250  0.750  0.500
O  0.595  0.125  0.250
O  0.155  0.625  0.250
O  0.375  0.405  0.750
O  0.875  0.845  0.750
Ta  0.000  0.000  0.000
Ta  0.750  0.250  0.500

excess energy over the best structure of this formula in the dataset: 387 meV/atom
total moment: 0.00 μB per cell
density: 8.2 g/cm³
space-group type: I-42d
uncorrected formation energy: -1.635 eV per atom

=====

Entry 5:
Crystalline GaAuSCl2 at its relaxed geometry. Source: the Alexandria database, functional PBE-GGA.

Unit cell a=5.114 b=5.114 c=4.854 alpha=90.00 beta=90.00 gamma=90.00
Atoms (fractional coordinates):
S  0.000  0.000  0.500
Au  0.000  0.000  0.000
Ga  0.500  0.500  0.500
Cl  0.000  0.500  0.000
Cl  0.500  0.000  0.000

excess energy over the best structure of this formula in the dataset: 0 meV/atom
total moment: 0.72 μB per cell
density: 4.8 g/cm³
space-group type: P4/mmm
uncorrected formation energy: 0.009 eV per atom

=====

Entry 6:
Crystalline NaLaH3 at its relaxed geometry. Source: the Alexandria database, functional PBE-GGA.

Unit cell a=4.005 b=4.005 c=4.005 alpha=90.00 beta=90.00 gamma=90.00
Atoms (fractional coordinates):
Na  0.000  0.000  0.000
H  0.000  0.500  0.000
H  0.000  0.000  0.500
H  0.500  0.000  0.000
La  0.500  0.500  0.500

excess energy over the best structure of this formula in the dataset: 11 meV/atom
total moment: 0.00 μB per cell
density: 4.3 g/cm³
space-group type: Pm-3m

=====

Entry 7:
Crystalline TbPm3Ho2Bi6 at its relaxed geometry. Source: the Alexandria database, functional PBE-GGA.

Unit cell a=4.527 b=9.047 c=10.114 alpha=102.80 beta=102.93 gamma=90.00
Atoms (fractional coordinates):
Tb  0.500  0.000  0.000
Pm  0.500  0.500  0.000
Pm  0.834  0.167  0.667
Pm  0.166  0.833  0.333
Ho  0.833  0.667  0.666
Ho  0.167  0.333  0.334
Bi  0.334  0.912  0.669
Bi  0.668  0.578  0.337
Bi  0.666  0.088  0.331
Bi  0.002  0.247  0.004
Bi  0.998  0.753  0.996
Bi  0.332  0.422  0.663

total moment: 0.00 μB per cell
total energy: -62.1 eV/f.u.
density: 9.2 g/cm³
space-group type: C2/m

=====

Entry 8:
Crystalline MgAlHg2 at its relaxed geometry. Source: the Alexandria database, functional PBE-GGA.

Unit cell a=5.008 b=5.008 c=5.008 alpha=60.00 beta=60.00 gamma=60.00
Atoms (fractional coordinates):
Al  0.500  0.500  0.500
Hg  0.000  0.000  0.000
Hg  0.750  0.750  0.750
Mg  0.250  0.250  0.250

total moment: 0.00 μB per cell
total energy: -5.5 eV/f.u.
density: 8.5 g/cm³
space-group type: F-43m

=====

Entry 9:
Crystalline LiBe4Tc at its relaxed geometry. Source: the Alexandria database, functional PBE-GGA.

Unit cell a=4.343 b=4.343 c=4.343 alpha=60.00 beta=60.00 gamma=60.00
Atoms (fractional coordinates):
Li  0.750  0.750  0.750
Be  0.880  0.373  0.373
Be  0.373  0.373  0.880
Be  0.373  0.880  0.373
Be  0.373  0.373  0.373
Tc  0.000  0.000  0.000

total moment: 0.00 μB per cell
total energy: -27.3 eV/f.u.
density: 4.0 g/cm³
space-group type: F-43m

=====

Entry 10:
Crystalline BaNaHfAu at its relaxed geometry. Source: the Alexandria database, functional PBE-GGA.

Unit cell a=4.656 b=4.656 c=21.099 alpha=90.00 beta=90.00 gamma=120.00
Atoms (fractional coordinates):
Ba  0.000  0.000  0.155
Ba  0.333  0.667  0.822
Ba  0.667  0.333  0.489
Na  0.000  0.000  0.949
Na  0.333  0.667  0.616
Na  0.667  0.333  0.283
Hf  0.000  0.000  0.370
Hf  0.333  0.667  0.037
Hf  0.667  0.333  0.704
Au  0.000  0.000  0.691
Au  0.333  0.667  0.358
Au  0.667  0.333  0.025

excess energy over the best structure of this formula in the dataset: 71 meV/atom
total moment: 0.38 μB per cell
density: 6.7 g/cm³
space-group type: R3m

=====

Entry 11:
Crystalline TaRhSe2 at its relaxed geometry. Source: the Alexandria database, functional PBE-GGA.

Unit cell a=3.517 b=3.518 c=6.893 alpha=90.00 beta=90.00 gamma=90.00
Atoms (fractional coordinates):
Rh  0.500  0.500  0.715
Se  0.000  0.000  0.890
Se  0.500  0.500  0.357
Ta  0.000  0.000  0.538

excess energy over the best structure of this formula in the dataset: 55 meV/atom
total moment: 0.00 μB per cell
density: 8.6 g/cm³
space-group type: P4mm
uncorrected formation energy: -0.445 eV per atom

=====

Entry 12:
Crystalline CeUAgO6 at its relaxed geometry. Source: the Alexandria database, functional PBE-GGA.

Unit cell a=5.573 b=5.573 c=10.072 alpha=90.00 beta=90.00 gamma=120.00
Atoms (fractional coordinates):
Ce  0.000  0.000  0.000
Ce  0.000  0.000  0.500
U  0.667  0.333  0.250
U  0.333  0.667  0.750
Ag  0.333  0.667  0.250
Ag  0.667  0.333  0.750
O  0.683  0.650  0.131
O  0.966  0.317  0.131
O  0.317  0.966  0.631
O  0.034  0.683  0.869
O  0.350  0.317  0.369
O  0.966  0.650  0.369
O  0.650  0.966  0.869
O  0.683  0.034  0.369
O  0.034  0.350  0.631
O  0.350  0.034  0.131
O  0.650  0.683  0.631
O  0.317  0.350  0.869

total moment: 2.13 μB per cell
density: 7.1 g/cm³
space-group type: P-31c
uncorrected formation energy: -2.421 eV per atom

=====

- Which of these has the highest total moment?
  CeUAgO6